No. 1
The following is a DFT calculation (PBE-GGA) of an optimized crystal structure of Be2SiRh.

The structure belongs to space group P2/m (No. 10); the cell edges are 2.729, 3.736 and 4.415 Å and the angles 90.00°, 90.16° and 90.00°. Symmetry generates all atoms from Be at (0.008, 0.000, 0.266), Si at (0.000, 0.500, 0.000) and Rh at (0.500, 0.500, 0.500).

The energy above the most stable polymorph in this dataset is 0.1564 eV per atom. As for the size of the total moment: 0.0 μB/cell.

***

No. 2
The following is a DFT calculation (PBE-GGA) of an optimized crystal structure of BeSi2Rh.

The structure belongs to space group Cmmm (No. 65); the cell edges are 2.808, 4.870 and 7.730 Å and the angles 90.00°, 90.00° and 90.00°. Symmetry generates all atoms from Be at (0.000, 0.000, 0.000), Si at (0.000, 0.500, 0.242) and Rh at (0.000, 0.000, 0.500).

The energy above the most stable polymorph in this dataset is 0.3568 eV per atom. As for the size of the total moment: 0.0 μB/cell.

***

No. 3
The following is a DFT calculation (PBE-GGA) of an optimized crystal structure of Be3SiRh3.

The structure belongs to space group C2/m (No. 12); the cell edges are 7.819, 7.917 and 5.566 Å and the angles 90.00°, 90.00° and 90.00°. Symmetry generates all atoms from Be at (0.000, 0.244, 0.000), Be at (0.000, 0.247, 0.500), Be at (0.250, 0.000, 0.002), Si at (0.243, 0.500, 0.501), Rh at (0.000, 0.000, 0.248) and Rh at (0.250, 0.249, 0.753).

As for the size of the total moment: 0.0 μB/cell.

***

No. 4
The following is a DFT calculation (PBE-GGA) of an optimized crystal structure of BeSiRh.

The structure belongs to space group F-43m (No. 216); the cell edges are 5.494, 5.494 and 5.494 Å and the angles 90.00°, 90.00° and 90.00°. Symmetry generates all atoms from Be at (0.000, 0.000, 0.000), Si at (0.000, 0.000, 0.500) and Rh at (0.250, 0.250, 0.750).

The energy above the most stable polymorph in this dataset is 0.2149 eV per atom. As for the size of the total moment: 0.0 μB/cell.

***

No. 5
The following is a DFT calculation (PBE-GGA) of an optimized crystal structure of Be2SiRh3.

The structure belongs to space group P4/mmm (No. 123); the cell edges are 2.859, 2.859 and 8.441 Å and the angles 90.00°, 90.00° and 90.00°. Symmetry generates all atoms from Be at (0.000, 0.000, 0.147), Si at (0.000, 0.000, 0.500), Rh at (0.500, 0.500, 0.000) and Rh at (0.500, 0.500, 0.331).

As for the size of the total moment: 0.0 μB/cell.

***

No. 6
The following is a DFT calculation (PBE-GGA) of an optimized crystal structure of BeSi2Rh.

The structure belongs to space group R-3m (No. 166, hexagonal axes); the cell edges are 2.8209, 2.8209 and 22.3362 Å and the angles 90.00°, 90.00° and 120.00°. Symmetry generates all atoms from Be at (0.0000, 0.0000, 0.0000), Si at (0.0000, 0.0000, 0.2517) and Rh at (0.0000, 0.0000, 0.5000).

The energy above the most stable polymorph in this dataset is 0.1346 eV per atom. As for the size of the total moment: 0.0 μB/cell.

***

No. 7
The following is a DFT calculation (PBE-GGA) of an optimized crystal structure of BeSi2Rh.

The structure belongs to space group P4mm (No. 99); the cell edges are 2.775, 2.775 and 6.588 Å and the angles 90.00°, 90.00° and 90.00°. Symmetry generates all atoms from Be at (0.000, 0.000, 0.000), Si at (0.000, 0.000, 0.451), Si at (0.500, 0.500, 0.763) and Rh at (0.500, 0.500, 0.208).

The energy above the most stable polymorph in this dataset is 0.1982 eV per atom. As for the size of the total moment: 0.0 μB/cell.

***

No. 8
The following is a DFT calculation (PBE-GGA) of an optimized crystal structure of BeSi2Rh.

The structure belongs to space group Cm (No. 8); the cell edges are 8.257, 2.848 and 4.242 Å and the angles 90.00°, 94.51° and 90.00°. Symmetry generates all atoms from Be at (0.000, 0.000, 0.000), Si at (0.237, 0.000, 0.757), Si at (0.481, 0.000, 0.485) and Rh at (0.242, 0.500, 0.239).

The energy above the most stable polymorph in this dataset is 0.0466 eV per atom. As for the size of the total moment: 0.0 μB/cell.

***

No. 9
The following is a DFT calculation (PBE-GGA) of an optimized crystal structure of BeSi2Rh.

The structure belongs to space group Fm-3m (No. 225); the cell edges are 5.884, 5.884 and 5.884 Å and the angles 90.00°, 90.00° and 90.00°. Symmetry generates all atoms from Be at (0.000, 0.000, 0.000), Si at (0.250, 0.250, 0.250) and Rh at (0.000, 0.000, 0.500).

The energy above the most stable polymorph in this dataset is 0.2835 eV per atom. As for the size of the total moment: 0.0 μB/cell.

***

No. 10
The following is a DFT calculation (PBE-GGA) of an optimized crystal structure of Be2SiRh.

The structure belongs to space group Cmm2 (No. 35); the cell edges are 2.874, 4.415 and 7.459 Å and the angles 90.00°, 90.00° and 90.00°. Symmetry generates all atoms from Be at (0.000, 0.000, 0.000), Be at (0.000, 0.500, 0.233), Si at (0.000, 0.000, 0.489) and Rh at (0.000, 0.500, 0.754).

The energy above the most stable polymorph in this dataset is 0.5757 eV per atom. As for the size of the total moment: 0.0 μB/cell.

***

No. 11
The following is a DFT calculation (PBE-GGA) of an optimized crystal structure of BeSi2Rh.

The structure belongs to space group Pm (No. 6); the cell edges are 2.913, 4.283 and 4.526 Å and the angles 90.00°, 108.67° and 90.00°. Symmetry generates all atoms from Be at (0.000, 0.000, 0.000), Si at (0.278, 0.000, 0.556), Si at (0.428, 0.500, 0.853) and Rh at (0.140, 0.500, 0.280).

The energy above the most stable polymorph in this dataset is 0.0000 eV per atom. As for the size of the total moment: 0.0 μB/cell.

***

No. 12
The following is a DFT calculation (PBE-GGA) of an optimized crystal structure of BeSi2Rh.

The structure belongs to space group P2/m (No. 10); the cell edges are 4.263, 2.868 and 4.394 Å and the angles 90.00°, 112.66° and 90.00°. Symmetry generates all atoms from Be at (0.000, 0.000, 0.000), Si at (0.500, 0.000, 0.500), Si at (0.500, 0.500, 0.000) and Rh at (0.000, 0.500, 0.500).

The energy above the most stable polymorph in this dataset is 0.0665 eV per atom. As for the size of the total moment: 0.0 μB/cell.

***

no.,ΔE_f (raw) (meV per atom)
1,-274.5
2,83.5
3,-590.0
4,-364.5
5,-755.2
6,-138.8
7,-75.2
8,-226.8
9,10.1
10,144.8
11,-273.4
12,-206.9